DFT (GGA-PBE) results for a geometry-optimized TiPdRhW2 structure.

Its uncorrected energy is -7.642 eV/atom. The density of states at the Fermi level is 6.64 states/eV per cell. As for the energy of formation: 37.53 kcal/mol of atoms. The density comes out at 11.15 g/cm3.

Cell: 4.537 4.537 4.520 Å, 90.00 90.00 90.00°
Atoms (fractional coordinates):
Ti 0.000 0.000 0.000
Pd 0.000 0.000 0.500
Rh 0.500 0.500 0.500
W 0.000 0.500 0.000
W 0.500 0.000 0.000